Compound: Mg3Ni4P4
Source: Alexandria
Functional: PBE-GGA
Structure: optimized geometry

Results
* spin magnetization: 0.000 μB per atom
* energy: -5.069 eV per atom
* formation energy from the elements: -564 meV per atom

Lattice parameters (Å, degrees): 3.7769 6.3606 7.1847 116.27 105.24 90.00
With the nearest neighbours (Å) after each atom.
Positions (direct):
Mg (0.1240, 0.1240, 0.2481)  6 P 2.68-2.71, 6 Ni 2.76-2.79
Mg (0.8760, 0.8760, 0.7519)  6 P 2.68-2.71, 6 Ni 2.76-2.79
Mg (0.0000, 0.5000, 0.0000)  6 P 2.73-2.74
Ni (0.3254, 0.1259, 0.6508)  4 P 2.26-2.35
Ni (0.6746, 0.4751, 0.3492)  4 P 2.26-2.35
Ni (0.6746, 0.8741, 0.3492)  4 P 2.26-2.35
Ni (0.3254, 0.5249, 0.6508)  4 P 2.26-2.35
P (0.2221, 0.7221, 0.4443)  6 Ni 2.30-2.35
P (0.7779, 0.2779, 0.5557)  6 Ni 2.30-2.35
P (0.5000, 0.8095, 0.0000)  2 Ni 2.26, 1 P 2.42
P (0.5000, 0.1905, 0.0000)  2 Ni 2.26, 1 P 2.42

***

Compound: MgNiP2
Source: Alexandria
Functional: PBE-GGA
Structure: optimized geometry

Results
* spin magnetization: 0.000 μB per atom
* energy: -4.543 eV per atom
* formation energy from the elements: 6 meV per atom

Lattice parameters (Å, degrees): 5.0013 5.0013 5.0013 137.53 137.53 61.62
With the nearest neighbours (Å) after each atom.
Positions (direct):
Mg (0.5000, 0.5000, 0.0000)  8 P 2.56-2.81, 4 Ni 2.81
Ni (0.7500, 0.2500, 0.5000)  8 P 2.56-2.81, 4 Mg 2.81
P (0.0000, 0.0000, 0.0000)  4 Mg 2.56, 4 Ni 2.81, 4 P 2.81
P (0.2500, 0.7500, 0.5000)  4 Ni 2.56, 4 P 2.81, 4 Mg 2.81

***

Compound: MgNiP2
Source: Alexandria
Functional: PBE-GGA
Structure: optimized geometry

Results
* spin magnetization: 0.000 μB per atom
* energy: -4.799 eV per atom
* formation energy from the elements: -250 meV per atom

Lattice parameters (Å, degrees): 5.5074 5.5074 3.6334 89.93 89.93 40.18
With the nearest neighbours (Å) after each atom.
Positions (direct):
Mg (0.5246, 0.5246, 0.4999)  6 P 2.68-2.78, 2 Ni 2.75
Ni (0.3246, 0.3246, 0.0008)  4 P 2.20-2.21
P (0.9351, 0.9351, 0.0000)  2 Ni 2.21, 1 P 2.27
P (0.7157, 0.7157, 0.9993)  2 Ni 2.20, 1 P 2.27

***

Which value of energy does entry 1 give? -5.069 eV per atom